# Ba4IrI

Crystalline Ba4IrI at its relaxed geometry (GGA-PBE, Alexandria via LeMat-Bulk).

a b c (Å): 7.6815 8.1243 10.9623
angles (deg): 110.75 109.47 92.65
With the nearest neighbours (Å) after each atom.
Fractional positions:
1 Ba 0.5502 0.9130 0.6658  1 Ir 3.03
2 Ba 0.8844 0.7472 0.3342  1 Ir 3.03
3 Ba 0.2137 0.8714 0.8898  2 Ir 3.10-3.18
4 Ba 0.7863 0.1286 0.1102  2 Ir 3.10-3.18
5 Ba 0.1156 0.2528 0.6658  1 Ir 3.03
6 Ba 0.3239 0.4817 0.1102  2 Ir 3.10-3.18
7 Ba 0.4498 0.0870 0.3342  1 Ir 3.03
8 Ba 0.6761 0.5183 0.8898  2 Ir 3.10-3.18
9 Ir 0.5583 0.8083 0.1166  6 Ba 3.03-3.18
10 Ir 0.4417 0.1917 0.8834  6 Ba 3.03-3.18
11 I 0.7856 0.5356 0.5711  6 Ba 3.64-3.90, 2 I 4.07
12 I 0.2144 0.4644 0.4289  6 Ba 3.64-3.90, 2 I 4.07

- Fermi-level density of states: 4.97 states/eV/f.u.
- Total moment: 0.000 μB/f.u.
- ΔE_f (raw): -2.99 eV/f.u.
- Symmetry: C2/c (15)
- E above lowest polymorph: 18 meV/atom

=====

# ScGa2Pd2

Crystalline ScGa2Pd2 at its relaxed geometry (GGA-PBE, Alexandria via LeMat-Bulk).

a b c (Å): 7.4800 7.4800 2.9446
angles (deg): 90.00 90.00 90.00
With the nearest neighbours (Å) after each atom.
Fractional positions:
1 Pd 0.6737 0.8263 0.5000  6 Ga 2.58-2.70
2 Pd 0.3263 0.1737 0.5000  6 Ga 2.58-2.70
3 Pd 0.8263 0.3263 0.5000  6 Ga 2.58-2.70
4 Pd 0.1737 0.6737 0.5000  6 Ga 2.58-2.70
5 Sc 0.5000 0.5000 0.0000  2 Sc 2.94, 4 Ga 2.95, 8 Pd 3.13
6 Sc 0.0000 0.0000 0.0000  2 Sc 2.94, 4 Ga 2.95, 8 Pd 3.13
7 Ga 0.6256 0.1256 0.0000  6 Pd 2.58-2.70, 1 Ga 2.66
8 Ga 0.1256 0.3744 0.0000  6 Pd 2.58-2.70, 1 Ga 2.66
9 Ga 0.3744 0.8744 0.0000  6 Pd 2.58-2.70, 1 Ga 2.66
10 Ga 0.8744 0.6256 0.0000  6 Pd 2.58-2.70, 1 Ga 2.66

- Fermi-level density of states: 2.53 states/eV/f.u.
- Total moment: 0.401 μB/f.u.
- Symmetry: P4/mbm (127)
- Energy relative to the elements: -0.616 eV per atom

=====

# PmNdDy2N4

Crystalline PmNdDy2N4 at its relaxed geometry (GGA-PBE, Alexandria via LeMat-Bulk).

a b c (Å): 3.5541 6.1522 6.1584
angles (deg): 109.41 90.00 90.00
With the nearest neighbours (Å) after each atom.
Fractional positions:
1 Pm 0.0000 0.0000 0.0000  6 N 2.54
2 Dy 0.5000 0.0000 0.5000  6 N 2.48
3 Dy 0.0000 0.5000 0.5000  6 N 2.48-2.49
4 N 0.0000 0.2456 0.7397  3 Dy 2.48, 1 Pm 2.54, 2 Nd 2.55
5 N 0.5000 0.2520 0.2593  3 Dy 2.48-2.49, 2 Pm 2.54, 1 Nd 2.55
6 N 0.0000 0.7544 0.2603  3 Dy 2.48, 1 Pm 2.54, 2 Nd 2.55
7 N 0.5000 0.7480 0.7407  3 Dy 2.48-2.49, 2 Pm 2.54, 1 Nd 2.55
8 Nd 0.5000 0.5000 0.0000  6 N 2.55

- Fermi-level density of states: 0.29 states/eV/f.u.
- Total moment: 0.000 μB/f.u.
- ΔE_f (raw): -12.28 eV/f.u.
- Symmetry: P2/m (10)

=====

Uncorrected energy values, unit eV/f.u., following the record order: -21.096 -25.849 -64.302.